#P
This record from Alexandria describes Nd4Mg after structural relaxation. The functional is PBE-GGA.

For the calculated density, the calculation gives 5.137 g/cm3.

The space group is Pm-3m (No. 221) and the conventional cell measures 5.7925, 5.7925 and 5.7925 Å, with angles of 90.00, 90.00 and 90.00 degrees. The asymmetric unit holds Nd at (0.0000, 0.0000, 0.0000), Nd at (0.0000, 0.5000, 0.5000) and Mg at (0.5000, 0.5000, 0.5000).


#Q
This record from Alexandria describes Nd4Mg after structural relaxation. The functional is PBE-GGA.

For the calculated density, the calculation gives 6.030 g/cm3.

The space group is I4/mmm (No. 139) and the conventional cell measures 3.7162, 3.7162 and 23.9797 Å, with angles of 90.00, 90.00 and 90.00 degrees. The asymmetric unit holds Nd at (0.0000, 0.0000, 0.0901), Nd at (0.0000, 0.0000, 0.3044) and Mg at (0.0000, 0.0000, 0.5000).


Which structure loses on stability? #P does.


#P
This record from Alexandria describes NdMg6 after structural relaxation. The functional is PBE-GGA.

For the calculated density, the calculation gives 2.750 g/cm3.

The space group is Pnma (No. 62) and the conventional cell measures 9.6527, 5.9302 and 12.2388 Å, with angles of 90.00, 90.00 and 90.00 degrees. The asymmetric unit holds Nd at (0.2451, 0.2500, 0.0617), Mg at (0.0536, 0.7500, 0.0847), Mg at (0.0618, 0.0099, 0.3062), Mg at (0.0923, 0.2500, 0.5181), Mg at (0.1455, 0.7500, 0.8506) and Mg at (0.1940, 0.2500, 0.7511).


#Q
This record from Alexandria describes NdMg6 after structural relaxation. The functional is PBE-GGA.

For the calculated density, the calculation gives 2.112 g/cm3.

The space group is Im-3m (No. 229) and the conventional cell measures 7.6977, 7.6977 and 7.6977 Å, with angles of 90.00, 90.00 and 90.00 degrees. The asymmetric unit holds Nd at (0.0000, 0.0000, 0.0000) and Mg at (0.0000, 0.2500, 0.5000).


Which structure loses on stability? #Q does.